Ti4Mn2Tc | PBE | relaxed

abc: 5.1966 5.1966 5.1966
angles: 110.36 109.03 109.03
Last column: nearest neighbours and their distance in Å.
Fractional coordinates of all 7 atoms:
Ti1 0.5000 0.0000 0.0000  4 Mn 2.60, 2 Tc 2.60
Ti2 0.5000 0.5000 0.5000  4 Mn 2.60, 2 Tc 2.60
Ti3 0.0000 0.0000 0.5000  2 Tc 2.60, 4 Mn 2.60
Ti4 0.0000 0.5000 0.0000  4 Mn 2.60, 2 Tc 2.60
Mn1 0.5000 0.5000 0.0000  8 Ti 2.60
Mn2 0.5000 0.0000 0.5000  8 Ti 2.60
Tc1 0.0000 0.0000 0.0000  8 Ti 2.60

## Properties
* energy relative to the elements: -0.063 eV per atom
* E: -8.675 eV per atom
* spin magnetization: 0.7 Bohr magnetons per cell